Below is an optimized crystal structure of NaMgAsBr2, with properties calculated at the GGA-PBE level.

Unit cell a=5.308 b=5.308 c=5.655 alpha=90.00 beta=90.00 gamma=90.00
Sites, in units of the cell vectors:
Na 0.000 0.000 0.000
Mg 0.500 0.500 0.500
As 0.000 0.000 0.500
Br 0.000 0.500 0.000
Br 0.500 0.000 0.000

Results
The calculation puts the volume at 31.86 A^3/atom. The value obtained for the excess energy over the best structure of this formula in the dataset is 594.3 meV per atom. As for the uncorrected formation energy: -0.01 eV per atom.

=====

Below is an optimized crystal structure of Ti6ZnRh, with properties calculated at the GGA-PBE level.

Unit cell a=5.041 b=5.041 c=5.041 alpha=91.51 beta=91.51 gamma=91.51
Sites, in units of the cell vectors:
Ti 0.001 0.512 0.753
Ti 0.247 0.999 0.488
Ti 0.488 0.247 0.999
Ti 0.512 0.753 0.001
Ti 0.753 0.001 0.512
Ti 0.999 0.488 0.247
Zn 0.500 0.500 0.500
Rh 0.000 0.000 0.000

Results
The calculation puts the volume at 16.00 A^3/atom. The value obtained for the excess energy over the best structure of this formula in the dataset is 0.0 meV per atom. The calculation puts the calculated formation energy at -0.256 eV per atom.